A PBEsol-optimized structure of CrTeAsI2, computed with SCAN.

Output
uncorrected formation energy = 0.434 eV/atom

Unit cell a=5.2015 b=5.2015 c=5.3010 alpha=90.00 beta=90.00 gamma=90.00
With the nearest neighbours (Å) after each atom.
Positions (direct):
Cr: 0.0000 0.0000 0.0000  4 I 2.60, 2 Te 2.65
Te: 0.0000 0.0000 0.5000  2 Cr 2.65
As: 0.5000 0.5000 0.5000  4 Te 3.68, 8 I 3.71
I: 0.0000 0.5000 0.0000  2 Cr 2.60
I: 0.5000 0.0000 0.0000  2 Cr 2.60